DFT (PBE) results for La5TbSn3 after structural relaxation.

## Properties
Calculated total energy = -93.052 eV/cell
Space group = P6_3/mcm, No. 193
ΔH_f (0 K) = -0.58 eV/atom

Cell: 6.877 9.779 9.778 Å, 120.00 90.00 90.00°
Each line ends with the local moment (μB).
Sites, in units of the cell vectors:
Tb 0.500 0.000 0.000  0.41
Sn 0.250 0.330 0.000  -0.02
La 0.250 0.333 0.333  0.20
Sn 0.250 0.670 0.670  -0.02
La 0.750 0.333 0.000  0.20
Sn 0.750 0.000 0.670  -0.02
La 0.500 0.333 0.667  0.36
La 0.250 0.667 0.000  0.20
Sn 0.750 0.670 0.000  -0.02
La 0.000 0.333 0.667  0.36
La 0.750 0.000 0.333  0.20
Sn 0.750 0.330 0.330  -0.02
La 0.500 0.667 0.333  0.36
Tb 0.000 0.000 0.000  0.41
La 0.250 0.000 0.667  0.20
La 0.000 0.667 0.333  0.36
La 0.750 0.667 0.667  0.20
Sn 0.250 0.000 0.330  -0.02

DFT (PBE) results for AcPmSeS after structural relaxation.

## Properties
Calculated total energy = -24.203 eV/cell
Space group = R3m, No. 160
Formation energy (no corrections) = -1.9330 eV/atom

Cell: 4.230 4.230 7.427 Å, 73.45 73.45 60.00°
Sites, in units of the cell vectors:
Se 0.756 0.756 0.733
Ac 0.994 0.994 0.019
S 0.244 0.244 0.269
Pm 0.507 0.507 0.480

DFT (PBE) results for ZrInTcRu after structural relaxation.

## Properties
Calculated total energy = -31.510 eV/cell
Space group = F-43m, No. 216
ΔH_f (0 K) = -0.15 eV/atom

Cell: 4.617 4.617 4.617 Å, 60.00 60.00 60.00°
Sites, in units of the cell vectors:
Tc 0.250 0.250 0.250
Zr 0.500 0.500 0.500
In 0.000 0.000 0.000
Ru 0.750 0.750 0.750

DFT (PBE) results for RbAcAu2 after structural relaxation.

## Properties
Calculated total energy = -13.895 eV/cell
Space group = P4/mmm, No. 123
ΔH_f (0 K) = -0.57 eV/atom

Cell: 4.040 4.040 8.452 Å, 90.00 90.00 90.00°
Sites, in units of the cell vectors:
Ac 0.500 0.500 0.000
Rb 0.500 0.500 0.500
Au 0.000 0.000 0.185
Au 0.000 0.000 0.815

DFT (PBE) results for InGeAu2 after structural relaxation.

## Properties
Calculated total energy = -14.102 eV/cell
Space group = R-3m, No. 166
ΔH_f (0 K) = -0.05 eV/atom

Cell: 4.114 4.114 6.375 Å, 71.17 71.17 60.00°
Sites, in units of the cell vectors:
Au 0.741 0.741 0.778
Au 0.259 0.259 0.222
Ge 0.000 0.000 0.000
In 0.500 0.500 0.500

DFT (PBE) results for MgSc2Cl after structural relaxation.

## Properties
Calculated total energy = -16.404 eV/cell
Space group = Fm-3m, No. 225
Formation energy (no corrections) = -0.0749 eV/atom

Cell: 5.044 5.044 5.044 Å, 60.00 60.00 60.00°
Sites, in units of the cell vectors:
Cl 0.500 0.500 0.500
Sc 0.750 0.750 0.750
Mg 0.000 0.000 0.000
Sc 0.250 0.250 0.250

What did the sixth record say?
DFT (PBE) results for MgSc2Cl after structural relaxation.

## Properties
Calculated total energy = -16.404 eV/cell
Space group = Fm-3m, No. 225
Formation energy (no corrections) = -0.0749 eV/atom

Cell: 5.044 5.044 5.044 Å, 60.00 60.00 60.00°
Sites, in units of the cell vectors:
Cl 0.500 0.500 0.500
Sc 0.750 0.750 0.750
Mg 0.000 0.000 0.000
Sc 0.250 0.250 0.250

Look up the calculated total energy of the fifth one. -14.102 eV/cell

The lowest calculated total energy belongs to which entry? La5TbSn3

What is the formula in the first record? La5TbSn3